VASP calculation (PBE-GGA) on a geometry-optimized CaCrCoP2 structure.

```
CaCrCoP2
1.0
-1.128 1.004 3.578
-3.656 0.372 -1.257
1.520 -5.560 -0.068
Ca P Co Cr
1 2 1 1
Direct
0.000 0.000 0.000
0.363 0.363 0.726
0.637 0.637 0.274
0.250 0.750 0.500
0.750 0.250 0.500
```

Properties
As for the magnetization: 1.1 μB/cell. The crystal system is tetragonal. The calculation puts the formation energy at -3.9 eV/f.u. The calculation puts the raw total energy at -6.6852 eV/atom. Its space-group type is I-4m2 (119).

=====

VASP calculation (PBE-GGA) on a geometry-optimized NpNiPt structure.

```
NpNiPt
1.0
4.496 0.000 2.525
1.604 4.358 2.410
0.020 0.025 5.232
Ni Pt Np
2 2 2
Direct
0.000 0.000 0.000
0.500 0.000 0.000
0.500 0.500 0.000
0.500 0.000 0.500
0.877 0.373 0.373
0.123 0.627 0.627
```

Properties
As for the magnetization: 7.9 μB/cell. The crystal system is orthorhombic. The calculation puts the formation energy at -1.3 eV/f.u. The calculation puts the raw total energy at -8.6789 eV/atom. Its space-group type is Imma (74).

=====

VASP calculation (PBE-GGA) on a geometry-optimized MnS2IN structure.

```
MnS2IN
1.0
-4.373 -1.385 2.426
2.793 -2.177 3.792
0.004 3.399 1.948
N S Mn I
1 2 1 1
Direct
0.000 0.000 0.500
0.500 0.000 0.000
0.000 0.500 0.000
0.500 0.500 0.500
0.000 0.000 0.000
```

Properties
As for the magnetization: 5.0 μB/cell. The crystal system is tetragonal. The calculation puts the raw total energy at -4.1592 eV/atom. Its space-group type is P4/mmm (123).

=====

VASP calculation (PBE-GGA) on a geometry-optimized NaAg2RhF8 structure.

```
NaAg2RhF8
1.0
5.112 -0.212 -0.003
-0.226 5.183 -0.006
0.004 0.008 7.027
F Ag Na Rh
8 2 1 1
Direct
0.712 0.712 0.000
0.177 0.827 0.205
0.687 0.688 0.500
0.313 0.312 0.500
0.823 0.173 0.795
0.177 0.827 0.795
0.288 0.288 0.000
0.823 0.173 0.205
0.500 0.500 0.250
0.500 0.500 0.750
0.000 0.000 0.500
0.000 0.000 0.000
```

Properties
As for the magnetization: 0.8 μB/cell. The crystal system is monoclinic. The calculation puts the raw total energy at -4.0272 eV/atom. Its space-group type is P2/m (10).